An optimized crystal structure of La12Ga5N2, computed with GGA-PBE.

Cell lengths 17.114, 7.548, 9.599 Å; angles 90.00, 105.34, 90.00 degrees
Space group C2/m (No. 12)
One atom of each set of equivalent atoms:
La (0.001, 0.000, 0.312) (multiplicity 4)
La (0.010, 0.500, 0.327) (multiplicity 4)
La (0.154, 0.267, 0.071) (multiplicity 8)
La (0.155, 0.253, 0.583) (multiplicity 8)
Ga (0.000, 0.500, 0.000) (multiplicity 2)
Ga (0.183, 0.000, 0.330) (multiplicity 4)
Ga (0.185, 0.000, 0.851) (multiplicity 4)
N (0.000, 0.243, 0.500) (multiplicity 4)

Output
Its total magnetization is 0.000 μB/f.u. The value obtained for the volume is 31.47 Å³ per atom. The uncorrected formation energy comes out at -0.460 eV/atom. Its crystal system is monoclinic. The energy is -5.245 eV per atom.